# CdSb2Ru | Alexandria via LeMat-Bulk | PBE-GGA | optimized geometry
# Spin magnetization, μB per formula unit: 0.00
# Raw total energy, eV per atom: -4.54
# Formation energy without anion corrections, eV per atom: 0.068
data_CdSb2Ru
_symmetry_space_group_name_H-M 'R -3 m'
_symmetry_Int_Tables_number 166
_symmetry_space_group_name_Hall '-R 3 2"'
_cell_length_a 3.5218
_cell_length_b 3.5218
_cell_length_c 25.4883
_cell_angle_alpha 90.00
_cell_angle_beta 90.00
_cell_angle_gamma 120.00
loop_
_atom_site_label
_atom_site_fract_x
_atom_site_fract_y
_atom_site_fract_z
_atom_site_occupancy
Cd1 0.0000 0.0000 0.0000 1
Sb1 0.0000 0.0000 0.2364 1
Ru1 0.0000 0.0000 0.5000 1